Material: Cs2NaHgAs
Method: DFT, GGA-PBE
State: relaxed

a = 7.189 Å, b = 7.189 Å, c = 5.583 Å
α = 90.00°, β = 90.00°, γ = 90.00°
Space group P4/mmm (No. 123)
Unique sites:
Cs  0.000  0.500  0.000 [2 per cell]
Na  0.000  0.000  0.500 [1 per cell]
Hg  0.500  0.500  0.500 [1 per cell]
As  0.000  0.000  0.000 [1 per cell]

Computed properties:
Formation enthalpy at 0 K ... -195 meV/atom
Magnetization ... 0.0 μB per cell